Computed, not measured: a relaxed LaScBr2 crystal at the PBEsol level of DFT.

Structure (CIF):
```
data_LaScBr2
_chemical_formula_sum 'La1 Sc1 Br2'
_space_group_name_H-M_alt 'P 1'
_space_group_IT_number 1
_cell_length_a 5.0588
_cell_length_b 5.0588
_cell_length_c 5.0588
_cell_angle_alpha 60.00
_cell_angle_beta 60.00
_cell_angle_gamma 60.00
loop_
_space_group_symop_operation_xyz
'x,y,z'
loop_
_atom_site_label
_atom_site_type_symbol
_atom_site_fract_x
_atom_site_fract_y
_atom_site_fract_z
La1 La 0.0000 0.0000 0.0000
Sc1 Sc 0.5000 0.5000 0.5000
Br1 Br 0.2500 0.2500 0.2500
Br2 Br 0.7500 0.7500 0.7500
```

**Total energy**: -4.824 eV/atom
**Space group**: Fm-3m
**Raw formation energy**: -0.90 eV/atom